1.
This record from the Alexandria database describes Ba2ScBrN after structural relaxation. The functional is PBE.

Results
magnetization = 0.00 μB per cell
energy relative to the elements, uncorrected = 0.62 eV per atom
space group = P4/mmm, No. 123
VASP energy = -17.051 eV per cell

a b c (Å): 6.1367 4.9367 6.1367
angles (deg): 90.00 90.00 90.00
Element x y z (fractional)
Sc  0.0000  0.5000  0.0000
Ba  0.0000  0.0000  0.5000
Ba  0.5000  0.0000  0.0000
Br  0.0000  0.0000  0.0000
N  0.5000  0.5000  0.5000

=====

2.
This record from the Alexandria database describes BaSeBrN2 after structural relaxation. The functional is PBE.

Results
magnetization = 6.95 μB per cell
energy relative to the elements, uncorrected = 1.41 eV per atom
space group = P4/mmm, No. 123
VASP energy = -16.705 eV per cell
energy above the most stable polymorph in this dataset = 329 meV/atom

a b c (Å): 5.3986 5.3986 6.6504
angles (deg): 90.00 90.00 90.00
Last column: magnetic moment on the atom in μB.
Element x y z (fractional)
Se  0.0000  0.0000  0.5000  0.91
Ba  0.0000  0.0000  0.0000  0.06
Br  0.5000  0.5000  0.5000  0.42
N  0.0000  0.5000  0.0000  1.54
N  0.5000  0.0000  0.0000  1.54

=====

3.
This record from the Alexandria database describes BaSeBrN2 after structural relaxation. The functional is PBE.

Results
magnetization = 2.47 μB per cell
energy relative to the elements, uncorrected = 1.08 eV per atom
space group = P4/mmm, No. 123
VASP energy = -18.350 eV per cell
energy above the most stable polymorph in this dataset = 0 meV/atom

a b c (Å): 4.5450 4.5450 5.3493
angles (deg): 90.00 90.00 90.00
Last column: magnetic moment on the atom in μB.
Element x y z (fractional)
Se  0.0000  0.0000  0.5000  0.11
Ba  0.5000  0.5000  0.5000  0.00
Br  0.0000  0.0000  0.0000  0.01
N  0.0000  0.5000  0.0000  0.78
N  0.5000  0.0000  0.0000  0.78

=====

4.
This record from the Alexandria database describes BaSe2BrN after structural relaxation. The functional is PBE.

Results
magnetization = 1.34 μB per cell
energy relative to the elements, uncorrected = -0.22 eV per atom
space group = P4/mmm, No. 123
VASP energy = -20.002 eV per cell
energy above the most stable polymorph in this dataset = 0 meV/atom

a b c (Å): 4.4598 4.4598 6.2047
angles (deg): 90.00 90.00 90.00
Last column: magnetic moment on the atom in μB.
Element x y z (fractional)
Se  0.0000  0.5000  0.0000  0.12
Se  0.5000  0.0000  0.0000  0.12
Ba  0.5000  0.5000  0.5000  0.01
Br  0.0000  0.0000  0.5000  0.03
N  0.0000  0.0000  0.0000  0.58

=====

5.
This record from the Alexandria database describes BaSe2BrN after structural relaxation. The functional is PBE.

Results
magnetization = 6.00 μB per cell
energy relative to the elements, uncorrected = 0.73 eV per atom
space group = P4/mmm, No. 123
VASP energy = -15.216 eV per cell
energy above the most stable polymorph in this dataset = 957 meV/atom

a b c (Å): 6.6573 6.6573 6.3029
angles (deg): 90.00 90.00 90.00
Last column: magnetic moment on the atom in μB.
Element x y z (fractional)
Se  0.0000  0.5000  0.0000  0.83
Se  0.5000  0.0000  0.0000  0.83
Ba  0.0000  0.0000  0.0000  -0.01
Br  0.0000  0.0000  0.5000  0.08
N  0.5000  0.5000  0.5000  1.94

=====

6.
This record from the Alexandria database describes BaSe2BrN after structural relaxation. The functional is PBE.

Results
magnetization = 1.61 μB per cell
energy relative to the elements, uncorrected = 0.31 eV per atom
space group = P4/mmm, No. 123
VASP energy = -17.320 eV per cell
energy above the most stable polymorph in this dataset = 536 meV/atom

a b c (Å): 5.5127 5.5127 4.2475
angles (deg): 90.00 90.00 90.00
Last column: magnetic moment on the atom in μB.
Element x y z (fractional)
Se  0.0000  0.5000  0.0000  0.09
Se  0.5000  0.0000  0.0000  0.09
Ba  0.5000  0.5000  0.5000  0.00
Br  0.0000  0.0000  0.0000  0.03
N  0.0000  0.0000  0.5000  0.89

=====

7.
This record from the Alexandria database describes BaSe2BrN after structural relaxation. The functional is PBE.

Results
magnetization = 6.00 μB per cell
energy relative to the elements, uncorrected = 0.84 eV per atom
space group = P4/mmm, No. 123
VASP energy = -14.699 eV per cell
energy above the most stable polymorph in this dataset = 1061 meV/atom

a b c (Å): 6.5264 6.5264 5.3729
angles (deg): 90.00 90.00 90.00
Last column: magnetic moment on the atom in μB.
Element x y z (fractional)
Se  0.0000  0.5000  0.0000  0.87
Se  0.5000  0.0000  0.0000  0.87
Ba  0.0000  0.0000  0.0000  0.02
Br  0.5000  0.5000  0.5000  0.47
N  0.0000  0.0000  0.5000  1.50

=====

8.
This record from the Alexandria database describes BaSrBrN after structural relaxation. The functional is PBE.

Results
magnetization = 0.08 μB per cell
energy relative to the elements, uncorrected = -1.23 eV per atom
space group = R3m, No. 160
VASP energy = -18.515 eV per cell

a b c (Å): 4.0357 4.0360 8.0902
angles (deg): 90.01 104.44 120.00
Last column: magnetic moment on the atom in μB.
Element x y z (fractional)
Ba  0.5165  0.1562  0.6879  0.00
Sr  0.0940  0.9449  0.0543  0.00
Br  0.9563  0.3763  0.3475  0.00
N  0.3111  0.5534  0.8799  0.05

=====

9.
This record from the Alexandria database describes Ba5TaBr2N4 after structural relaxation. The functional is PBE.

Results
magnetization = 0.71 μB per cell
energy relative to the elements, uncorrected = -1.06 eV per atom
space group = Amm2, No. 38
VASP energy = -70.890 eV per cell

a b c (Å): 6.7478 6.2644 8.9006
angles (deg): 90.00 90.00 122.59
Last column: magnetic moment on the atom in μB.
Element x y z (fractional)
Ba  0.0654  0.3578  0.1929  0.03
Ba  0.5114  0.0000  0.5000  0.08
Ba  0.0654  0.3578  0.8071  0.03
Ba  0.7076  0.6422  0.8071  0.03
Ba  0.7076  0.6422  0.1929  0.03
Ta  0.4045  0.0000  0.0000  0.01
Br  0.9597  0.5934  0.5000  0.01
Br  0.3663  0.4066  0.5000  0.01
N  0.5799  0.0000  0.1808  0.00
N  0.5799  0.0000  0.8192  0.00
N  0.3827  0.3073  0.0000  0.00
N  0.0754  0.6927  0.0000  0.00

=====

10.
This record from the Alexandria database describes Ba2TbBr2N2 after structural relaxation. The functional is PBE.

Results
magnetization = 0.27 μB per cell
energy relative to the elements, uncorrected = -1.38 eV per atom
space group = I4/mmm, No. 139
VASP energy = -38.164 eV per cell

a b c (Å): 4.6131 4.6131 9.1471
angles (deg): 104.61 104.61 90.00
Last column: magnetic moment on the atom in μB.
Element x y z (fractional)
Ba  0.3921  0.3921  0.7842  0.00
Ba  0.6079  0.6079  0.2158  0.00
Tb  0.0000  0.0000  0.0000  0.00
Br  0.1777  0.1777  0.3555  0.00
Br  0.8223  0.8223  0.6445  0.00
N  0.0000  0.5000  0.0000  0.10
N  0.5000  0.0000  0.0000  0.10

=====

11.
This record from the Alexandria database describes BaTcBrN2 after structural relaxation. The functional is PBE.

Results
magnetization = 5.44 μB per cell
energy relative to the elements, uncorrected = 2.39 eV per atom
space group = P4/mmm, No. 123
VASP energy = -18.638 eV per cell

a b c (Å): 4.5016 5.8408 4.5016
angles (deg): 90.00 90.00 90.00
Last column: magnetic moment on the atom in μB.
Element x y z (fractional)
N  0.0000  0.0000  0.5000  0.65
N  0.5000  0.0000  0.0000  0.60
Ba  0.0000  0.5000  0.0000  -0.04
Br  0.0000  0.0000  0.0000  -0.01
Tc  0.5000  0.5000  0.5000  3.18

=====

12.
This record from the Alexandria database describes Ba2ThBr2N2 after structural relaxation. The functional is PBE.

Results
magnetization = 0.00 μB per cell
energy relative to the elements, uncorrected = -1.58 eV per atom
space group = I4/mmm, No. 139
VASP energy = -42.295 eV per cell

a b c (Å): 4.7445 4.7445 9.1706
angles (deg): 104.99 104.99 90.00
Element x y z (fractional)
Ba  0.3937  0.3937  0.7875
Ba  0.6063  0.6063  0.2125
Th  0.0000  0.0000  0.0000
Br  0.1820  0.1820  0.3640
Br  0.8180  0.8180  0.6360
N  0.0000  0.5000  0.0000
N  0.5000  0.0000  0.0000

=====

Question: Which value of energy relative to the elements, uncorrected does entry 3 give?
Answer: 1.08 eV per atom

=====

Question: Number 12 is which compound?
Answer: Ba2ThBr2N2

=====

Please write out number 8 again, unchanged.
This record from the Alexandria database describes BaSrBrN after structural relaxation. The functional is PBE.

Results
magnetization = 0.08 μB per cell
energy relative to the elements, uncorrected = -1.23 eV per atom
space group = R3m, No. 160
VASP energy = -18.515 eV per cell

a b c (Å): 4.0357 4.0360 8.0902
angles (deg): 90.01 104.44 120.00
Last column: magnetic moment on the atom in μB.
Element x y z (fractional)
Ba  0.5165  0.1562  0.6879  0.00
Sr  0.0940  0.9449  0.0543  0.00
Br  0.9563  0.3763  0.3475  0.00
N  0.3111  0.5534  0.8799  0.05